# RbNa2PtAu

RbNa2PtAu after structural relaxation (PBE-GGA, the Alexandria database).

It has space group P4/mmm (No. 123), with a = 5.4624 Å, b = 5.4624 Å, c = 5.2840 Å, α = 90.00°, β = 90.00° and γ = 90.00°. The inequivalent atoms are Rb at (0.0000, 0.0000, 0.0000), Na at (0.0000, 0.5000, 0.5000), Pt at (0.5000, 0.5000, 0.5000) and Au at (0.5000, 0.5000, 0.0000).

Its total moment is 0.000 μB/atom. Its theoretical density is 5.514 g/cm3. The calculation puts the calculated formation energy at -0.101 eV/atom.